Entry 1:
Computed, not measured: FeSi4Ru2 after structural relaxation at the PBE-GGA level of DFT.

abc: 4.230 4.230 6.694
angles: 71.58 71.58 90.00
Site moments in Bohr magnetons follow the coordinates.
Fractional positions:
Si: 0.500 0.000 0.000  0.00
Si: 0.190 0.190 0.620  0.01
Fe: 0.000 0.000 0.000  0.30
Si: 0.000 0.500 0.000  0.00
Ru: 0.384 0.384 0.232  0.25
Ru: 0.616 0.616 0.768  0.25
Si: 0.810 0.810 0.380  0.01

## Properties
* raw formation energy: 0.261 eV/atom
* space-group type: No. 139

Entry 2:
Computed, not measured: Fe2SiRu after structural relaxation at the PBE-GGA level of DFT.

abc: 4.440 4.440 2.677
angles: 90.00 90.00 112.65
Site moments in Bohr magnetons follow the coordinates.
Fractional positions:
Fe: 0.500 0.500 0.000  1.87
Si: 0.000 0.500 0.500  -0.06
Ru: 0.500 0.000 0.500  0.17
Fe: 0.000 0.000 0.000  1.87

## Properties
* raw formation energy: -0.096 eV/atom
* space-group type: No. 65

Question: raw formation energy of number 2 (Fe2SiRu)?
Answer: -0.096 eV/atom

Question: Number 1 is which compound?
Answer: FeSi4Ru2